Record 1
{
  "formula": "LaMn2Pt",
  "functional": "PBE-GGA",
  "state": "optimized geometry",
  "m_tot_mub_per_cell": 0.28,
  "formation_energy_ev_per_fu": -1.20,
  "e_tot_ry_per_atom": -0.5606,
  "crystal_system": "trigonal",
  "lattice_angstrom": [[2.149, 1.241, 5.200], [-2.149, 1.241, 5.200], [0.000, -2.482, 5.200]],
  "species": ["La", "Mn", "Mn", "Pt"],
  "frac_coords": [[0.000, 0.000, 0.000], [0.489, 0.489, 0.489], [0.808, 0.808, 0.808], [0.211, 0.211, 0.211]]
}


Record 2
{
  "formula": "LaMn2Pt",
  "functional": "PBE-GGA",
  "state": "optimized geometry",
  "m_tot_mub_per_cell": 8.43,
  "formation_energy_ev_per_fu": 1.42,
  "e_tot_ry_per_atom": -0.5125,
  "crystal_system": "trigonal",
  "lattice_angstrom": [[1.628, 0.940, 9.169], [-1.628, 0.940, 9.169], [0.000, -1.880, 9.169]],
  "species": ["La", "Mn", "Mn", "Pt"],
  "frac_coords": [[0.000, 0.000, 0.000], [0.234, 0.234, 0.234], [0.766, 0.766, 0.766], [0.500, 0.500, 0.500]]
}


Record 3
{
  "formula": "LaMn2RuPt",
  "functional": "PBE-GGA",
  "state": "optimized geometry",
  "m_tot_mub_per_cell": 0.20,
  "formation_energy_ev_per_fu": 9.63,
  "e_tot_ry_per_atom": -0.4256,
  "crystal_system": "tetragonal",
  "lattice_angstrom": [[4.412, 0.000, 0.000], [0.000, 4.412, 0.000], [0.000, 0.000, 4.675]],
  "species": ["La", "Mn", "Mn", "Ru", "Pt"],
  "frac_coords": [[0.000, 0.000, 0.000], [0.000, 0.500, 0.000], [0.500, 0.000, 0.000], [0.000, 0.000, 0.500], [0.500, 0.500, 0.500]]
}


Record 4
{
  "formula": "LaMnPt2S",
  "functional": "PBE-GGA",
  "state": "optimized geometry",
  "m_tot_mub_per_cell": 4.45,
  "e_tot_ry_per_atom": -0.3477,
  "formation_energy_uncorrected_mev_per_atom": 1330,
  "crystal_system": "tetragonal",
  "lattice_angstrom": [[5.089, 0.000, 0.000], [0.000, 5.089, 0.000], [0.000, 0.000, 6.067]],
  "species": ["La", "Mn", "Pt", "Pt", "S"],
  "frac_coords": [[0.000, 0.000, 0.000], [0.000, 0.000, 0.500], [0.000, 0.500, 0.000], [0.500, 0.000, 0.000], [0.500, 0.500, 0.500]]
}


Record 5
{
  "formula": "La2MnSb4Pt3",
  "functional": "PBE-GGA",
  "state": "optimized geometry",
  "m_tot_mub_per_cell": 3.81,
  "e_tot_ry_per_atom": -0.4515,
  "formation_energy_uncorrected_mev_per_atom": -780,
  "crystal_system": "tetragonal",
  "lattice_angstrom": [[4.654, 0.000, 0.000], [0.000, 4.654, 0.000], [0.000, 0.000, 10.771]],
  "species": ["La", "La", "Mn", "Sb", "Sb", "Sb", "Sb", "Pt", "Pt", "Pt"],
  "frac_coords": [[0.000, 0.500, 0.246], [0.500, 0.000, 0.754], [0.500, 0.500, 0.000], [0.000, 0.000, 0.500], [0.000, 0.500, 0.871], [0.500, 0.000, 0.129], [0.500, 0.500, 0.500], [0.000, 0.000, 0.000], [0.000, 0.500, 0.626], [0.500, 0.000, 0.374]]
}


Record 6
{
  "formula": "LaMnSiPt6",
  "functional": "PBE-GGA",
  "state": "optimized geometry",
  "m_tot_mub_per_cell": 8.81,
  "e_tot_ry_per_atom": -0.4870,
  "formation_energy_uncorrected_mev_per_atom": -430,
  "crystal_system": "orthorhombic",
  "lattice_angstrom": [[-3.484, 4.502, 5.613], [3.484, -4.502, 5.613], [3.484, 4.502, -5.613]],
  "species": ["La", "La", "Mn", "Mn", "Si", "Si", "Pt", "Pt", "Pt", "Pt", "Pt", "Pt", "Pt", "Pt", "Pt", "Pt", "Pt", "Pt"],
  "frac_coords": [[0.420, 0.170, 0.250], [0.580, 0.830, 0.750], [0.000, 0.000, 0.500], [0.000, 0.500, 0.000], [0.000, 0.500, 0.500], [0.500, 0.500, 0.000], [0.115, 0.357, 0.223], [0.115, 0.892, 0.757], [0.159, 0.909, 0.250], [0.325, 0.575, 0.750], [0.365, 0.108, 0.723], [0.365, 0.643, 0.257], [0.635, 0.357, 0.743], [0.635, 0.892, 0.277], [0.675, 0.425, 0.250], [0.841, 0.091, 0.750], [0.885, 0.108, 0.243], [0.885, 0.643, 0.777]]
}


Record 7
{
  "formula": "La2MnSi3Pt12",
  "functional": "PBE-GGA",
  "state": "optimized geometry",
  "m_tot_mub_per_cell": 4.17,
  "e_tot_ry_per_atom": -0.4782,
  "formation_energy_uncorrected_mev_per_atom": -519,
  "crystal_system": "trigonal",
  "lattice_angstrom": [[4.120, 2.378, 6.107], [-4.120, 2.378, 6.107], [0.000, -4.757, 6.107]],
  "species": ["La", "La", "Mn", "Si", "Si", "Si", "Pt", "Pt", "Pt", "Pt", "Pt", "Pt", "Pt", "Pt", "Pt", "Pt", "Pt", "Pt"],
  "frac_coords": [[0.114, 0.114, 0.114], [0.886, 0.886, 0.886], [0.500, 0.500, 0.500], [0.000, 0.500, 0.500], [0.500, 0.000, 0.500], [0.500, 0.500, 0.000], [0.126, 0.628, 0.628], [0.146, 0.146, 0.603], [0.146, 0.603, 0.146], [0.372, 0.372, 0.874], [0.372, 0.874, 0.372], [0.397, 0.854, 0.854], [0.603, 0.146, 0.146], [0.628, 0.126, 0.628], [0.628, 0.628, 0.126], [0.854, 0.397, 0.854], [0.854, 0.854, 0.397], [0.874, 0.372, 0.372]]
}


Record 8
{
  "formula": "La2MnSiPt6",
  "functional": "PBE-GGA",
  "state": "optimized geometry",
  "m_tot_mub_per_cell": 3.83,
  "e_tot_ry_per_atom": -0.5085,
  "formation_energy_uncorrected_mev_per_atom": -849,
  "crystal_system": "monoclinic",
  "lattice_angstrom": [[5.897, -2.769, 0.000], [5.897, 2.769, 0.000], [-5.502, 0.000, 6.248]],
  "species": ["La", "La", "Mn", "Si", "Pt", "Pt", "Pt", "Pt", "Pt", "Pt"],
  "frac_coords": [[0.241, 0.241, 0.200], [0.759, 0.759, 0.800], [0.500, 0.500, 0.000], [0.000, 0.000, 0.500], [0.250, 0.250, 0.616], [0.250, 0.747, 0.738], [0.253, 0.750, 0.262], [0.747, 0.250, 0.738], [0.750, 0.253, 0.262], [0.750, 0.750, 0.384]]
}


Record 9
{
  "formula": "La2MnSi3Pt4",
  "functional": "PBE-GGA",
  "state": "optimized geometry",
  "m_tot_mub_per_cell": 3.89,
  "e_tot_ry_per_atom": -0.5105,
  "formation_energy_uncorrected_mev_per_atom": -1000,
  "crystal_system": "tetragonal",
  "lattice_angstrom": [[4.333, 0.000, 0.000], [0.000, 4.333, 0.000], [0.000, 0.000, 9.997]],
  "species": ["La", "La", "Mn", "Si", "Si", "Si", "Pt", "Pt", "Pt", "Pt"],
  "frac_coords": [[0.000, 0.500, 0.246], [0.500, 0.000, 0.754], [0.500, 0.500, 0.000], [0.000, 0.000, 0.000], [0.000, 0.500, 0.625], [0.500, 0.000, 0.375], [0.000, 0.000, 0.500], [0.000, 0.500, 0.866], [0.500, 0.000, 0.134], [0.500, 0.500, 0.500]]
}


Record 10
{
  "formula": "La2MnSn4Pt3",
  "functional": "PBE-GGA",
  "state": "optimized geometry",
  "m_tot_mub_per_cell": 3.57,
  "formation_energy_ev_per_fu": -7.69,
  "e_tot_ry_per_atom": -0.4473,
  "crystal_system": "tetragonal",
  "lattice_angstrom": [[4.534, 0.000, 0.000], [0.000, 4.534, 0.000], [0.000, 0.000, 11.225]],
  "species": ["La", "La", "Mn", "Sn", "Sn", "Sn", "Sn", "Pt", "Pt", "Pt"],
  "frac_coords": [[0.000, 0.500, 0.246], [0.500, 0.000, 0.754], [0.500, 0.500, 0.000], [0.000, 0.000, 0.500], [0.000, 0.500, 0.868], [0.500, 0.000, 0.132], [0.500, 0.500, 0.500], [0.000, 0.000, 0.000], [0.000, 0.500, 0.632], [0.500, 0.000, 0.368]]
}


Record 11
{
  "formula": "La2MnSnPt6",
  "functional": "PBE-GGA",
  "state": "optimized geometry",
  "m_tot_mub_per_cell": 3.83,
  "formation_energy_ev_per_fu": -7.33,
  "e_tot_ry_per_atom": -0.4895,
  "crystal_system": "triclinic",
  "lattice_angstrom": [[5.506, 0.000, 0.000], [2.746, 6.235, 0.000], [2.744, -0.027, 6.288]],
  "species": ["La", "La", "Mn", "Sn", "Pt", "Pt", "Pt", "Pt", "Pt", "Pt"],
  "frac_coords": [[0.242, 0.300, 0.216], [0.758, 0.700, 0.784], [0.500, 0.500, 0.500], [0.000, 0.000, 0.000], [0.247, 0.263, 0.749], [0.256, 0.900, 0.591], [0.257, 0.738, 0.252], [0.743, 0.262, 0.748], [0.744, 0.100, 0.409], [0.753, 0.737, 0.251]]
}


Record 12
{
  "formula": "La2MnSn3Pt4",
  "functional": "PBE-GGA",
  "state": "optimized geometry",
  "m_tot_mub_per_cell": 4.26,
  "formation_energy_ev_per_fu": -8.05,
  "e_tot_ry_per_atom": -0.4648,
  "crystal_system": "tetragonal",
  "lattice_angstrom": [[4.588, 0.000, 0.000], [0.000, 4.588, 0.000], [0.000, 0.000, 10.674]],
  "species": ["La", "La", "Mn", "Sn", "Sn", "Sn", "Pt", "Pt", "Pt", "Pt"],
  "frac_coords": [[0.000, 0.500, 0.249], [0.500, 0.000, 0.751], [0.500, 0.500, 0.000], [0.000, 0.000, 0.000], [0.000, 0.500, 0.629], [0.500, 0.000, 0.371], [0.000, 0.000, 0.500], [0.000, 0.500, 0.873], [0.500, 0.000, 0.127], [0.500, 0.500, 0.500]]
}


Record 13
{
  "formula": "LaMnSn2Pt",
  "functional": "PBE-GGA",
  "state": "optimized geometry",
  "m_tot_mub_per_cell": 2.54,
  "formation_energy_ev_per_fu": 7.25,
  "e_tot_ry_per_atom": -0.3071,
  "crystal_system": "tetragonal",
  "lattice_angstrom": [[5.842, 0.000, 0.000], [0.000, 5.842, 0.000], [0.000, 0.000, 4.615]],
  "species": ["La", "Mn", "Sn", "Sn", "Pt"],
  "frac_coords": [[0.000, 0.000, 0.000], [0.000, 0.000, 0.500], [0.000, 0.500, 0.000], [0.500, 0.000, 0.000], [0.500, 0.500, 0.500]]
}